DFT (PBE) results for crystalline LiZnSe2 at its relaxed geometry.

Spin magnetization, μB/f.u.: 0.00
E, eV per atom: -3.1187
E_form (uncorrected), eV per atom: -0.58
Crystal system: monoclinic
N(E_F), states/eV/f.u.: 3.0
Offset from the most stable computed form, meV per atom: 25.0

Unit cell a=3.638 b=3.638 c=7.060 alpha=75.20 beta=75.20 gamma=59.57
Sites, in units of the cell vectors:
Li1 0.750 0.750 0.750
Se1 0.505 0.505 0.485
Se2 0.995 0.995 0.015
Zn1 0.250 0.250 0.250

---

DFT (PBE) results for crystalline Na4Th3ZrSe8 at its relaxed geometry.

Spin magnetization, μB/f.u.: 0.01
E, eV per atom: -5.4307
E_form (uncorrected), eV per atom: -1.43
Crystal system: trigonal
N(E_F), states/eV/f.u.: 9.4

Unit cell a=8.154 b=8.663 c=8.154 alpha=118.08 beta=120.00 gamma=90.00
Sites, in units of the cell vectors:
Se1 0.240 0.264 0.002
Se2 0.762 0.264 0.523
Se3 0.238 0.736 0.998
Se4 0.760 0.736 0.998
Se5 0.750 0.749 0.500
Se6 0.762 0.264 0.002
Se7 0.250 0.251 0.500
Se8 0.238 0.736 0.477
Na1 0.000 0.000 0.500
Na2 0.500 0.000 0.500
Na3 0.000 0.000 0.000
Na4 0.500 0.000 0.000
Th1 0.500 0.500 0.500
Th2 0.500 0.500 0.000
Th3 0.000 0.500 0.500
Zr1 0.000 0.500 0.000

---

DFT (PBE) results for crystalline NiAs2PdSe at its relaxed geometry.

Spin magnetization, μB/f.u.: 0.00
E, eV per atom: -4.3225
E_form (uncorrected), eV per atom: 0.43
Crystal system: tetragonal
N(E_F), states/eV/f.u.: 3.5
Offset from the most stable computed form, meV per atom: 0.0

Unit cell a=4.499 b=4.499 c=4.854 alpha=90.00 beta=90.00 gamma=90.00
Sites, in units of the cell vectors:
As1 0.000 0.500 0.000
As2 0.500 0.000 0.000
Se1 0.000 0.000 0.500
Ni1 0.000 0.000 0.000
Pd1 0.500 0.500 0.500

---

DFT (PBE) results for crystalline ErThSnHg at its relaxed geometry.

Spin magnetization, μB/f.u.: 0.00
E, eV per atom: -4.4824
Crystal system: cubic
N(E_F), states/eV/f.u.: 3.7
Energy of formation, meV/atom: -411

Unit cell a=5.365 b=5.365 c=5.365 alpha=60.00 beta=60.00 gamma=60.00
Sites, in units of the cell vectors:
Th1 0.000 0.000 0.000
Er1 0.500 0.500 0.500
Sn1 0.250 0.250 0.250
Hg1 0.750 0.750 0.750

---

DFT (PBE) results for crystalline LaSmCdRu at its relaxed geometry.

Spin magnetization, μB/f.u.: 0.00
E, eV per atom: -5.2303
Crystal system: tetragonal
N(E_F), states/eV/f.u.: 4.5
Energy of formation, meV/atom: -271
Offset from the most stable computed form, meV per atom: 0.0

Unit cell a=3.564 b=3.564 c=8.018 alpha=90.00 beta=90.00 gamma=90.00
Sites, in units of the cell vectors:
Ru1 0.000 0.000 0.563
La1 0.500 0.500 0.785
Sm1 0.500 0.500 0.354
Cd1 0.000 0.000 0.083

---

DFT (PBE) results for crystalline BaTa2In at its relaxed geometry.

Spin magnetization, μB/f.u.: 0.00
E, eV per atom: -6.1030
Crystal system: tetragonal
N(E_F), states/eV/f.u.: 3.6
Energy of formation, meV/atom: 989
Offset from the most stable computed form, meV per atom: 604.6

Unit cell a=5.029 b=5.029 c=11.025 alpha=76.82 beta=76.82 gamma=90.00
Sites, in units of the cell vectors:
In1 0.250 0.750 0.500
In2 0.500 0.500 0.000
Ta1 0.375 0.125 0.250
Ta2 0.875 0.625 0.750
Ta3 0.375 0.625 0.250
Ta4 0.375 0.625 0.750
Ba1 0.000 0.000 0.000
Ba2 0.750 0.250 0.500

---

DFT (PBE) results for crystalline Ti4ZnPd3 at its relaxed geometry.

Spin magnetization, μB/f.u.: 4.38
E, eV per atom: -6.1894
Crystal system: monoclinic
N(E_F), states/eV/f.u.: 8.1
Energy of formation, meV/atom: -135
Offset from the most stable computed form, meV per atom: 122.2

Unit cell a=4.425 b=2.866 c=12.684 alpha=116.80 beta=100.05 gamma=90.00
Last column: magnetic moment on the atom in μB.
Sites, in units of the cell vectors:
Zn1 0.500 0.000 0.000  -0.01
Ti1 0.102 0.406 0.203  1.02
Ti2 0.318 0.273 0.637  0.75
Ti3 0.898 0.594 0.797  1.02
Ti4 0.682 0.727 0.363  0.75
Pd1 0.209 0.336 0.418  0.05
Pd2 0.791 0.664 0.582  0.05
Pd3 0.000 0.500 0.000  0.02

---

DFT (PBE) results for crystalline TlBiP2Br at its relaxed geometry.

Spin magnetization, μB/f.u.: 0.45
E, eV per atom: -2.6839
E_form (uncorrected), eV per atom: 1.06
Crystal system: tetragonal
N(E_F), states/eV/f.u.: 5.5

Unit cell a=5.034 b=5.034 c=5.762 alpha=90.00 beta=90.00 gamma=90.00
Last column: magnetic moment on the atom in μB.
Sites, in units of the cell vectors:
Br1 0.000 0.000 0.000  0.02
P1 0.500 0.000 0.000  0.01
P2 0.000 0.500 0.000  0.01
Tl1 0.500 0.500 0.500  0.01
Bi1 0.000 0.000 0.500  0.26

---

DFT (PBE) results for crystalline AlRe2Si at its relaxed geometry.

Spin magnetization, μB/f.u.: 0.00
E, eV per atom: -8.5986
E_form (uncorrected), eV per atom: -0.08
Crystal system: trigonal
N(E_F), states/eV/f.u.: 3.4
Offset from the most stable computed form, meV per atom: 186.3

Unit cell a=8.516 b=8.516 c=8.516 alpha=19.32 beta=19.32 gamma=19.32
Sites, in units of the cell vectors:
Re1 0.248 0.248 0.248
Re2 0.999 0.999 0.999
Al1 0.750 0.750 0.750
Si1 0.504 0.504 0.504

---

DFT (PBE) results for crystalline LaInB3 at its relaxed geometry.

Spin magnetization, μB/f.u.: 0.00
E, eV per atom: -4.2082
Crystal system: cubic
N(E_F), states/eV/f.u.: 2.9
Energy of formation, meV/atom: 1331
Offset from the most stable computed form, meV per atom: 0.0

Unit cell a=4.489 b=4.489 c=4.489 alpha=90.00 beta=90.00 gamma=90.00
Sites, in units of the cell vectors:
La1 0.500 0.500 0.500
B1 0.000 0.500 0.000
B2 0.500 0.000 0.000
B3 0.000 0.000 0.500
In1 0.000 0.000 0.000

---

DFT (PBE) results for crystalline HfGa2As2 at its relaxed geometry.

Spin magnetization, μB/f.u.: 0.00
E, eV per atom: -5.2391
Crystal system: tetragonal
N(E_F), states/eV/f.u.: 2.3
Energy of formation, meV/atom: -178

Unit cell a=3.628 b=3.628 c=8.054 alpha=76.98 beta=76.98 gamma=90.00
Sites, in units of the cell vectors:
Ga1 0.750 0.250 0.500
Ga2 0.250 0.750 0.500
As1 0.412 0.412 0.175
As2 0.588 0.588 0.825
Hf1 0.000 0.000 0.000

---

DFT (PBE) results for crystalline ZrTa2Hg at its relaxed geometry.

Spin magnetization, μB/f.u.: 0.00
E, eV per atom: -7.9303
Crystal system: orthorhombic
N(E_F), states/eV/f.u.: 4.8
Energy of formation, meV/atom: 208

Unit cell a=5.287 b=5.287 c=5.287 alpha=132.32 beta=132.54 gamma=69.55
Sites, in units of the cell vectors:
Ta1 0.750 0.250 0.500
Ta2 0.000 0.000 0.000
Hg1 0.250 0.750 0.500
Zr1 0.500 0.500 0.000